(1)
VASP calculation (PBE-GGA) on an optimized crystal structure of ZnAgW2.

Properties
raw total energy: -7.121 eV per atom
magnetic moment: 0.00 μB per formula unit
formation enthalpy at 0 K: 149 kJ/mol of formula units

```
ZnAgW2
1.0
-0.914 -2.184 3.651
-1.106 -2.011 -1.480
4.524 -3.020 -0.674
Ag W Zn
1 2 1
Direct
0.500 0.586 0.742 Ag
0.000 0.010 0.012 W
0.500 0.240 0.252 W
0.000 0.664 0.494 Zn
```

***

(2)
VASP calculation (PBE-GGA) on an optimized crystal structure of RbNiTe2I.

Properties
raw total energy: -3.187 eV per atom
magnetic moment: 0.00 μB per formula unit

```
RbNiTe2I
1.0
-0.978 -2.029 -4.632
4.056 -3.132 0.515
-3.490 -4.101 2.534
I Ni Te Rb
1 1 2 1
Direct
0.000 0.000 0.500 I
0.000 0.000 0.000 Ni
0.000 0.500 0.000 Te
0.500 0.000 0.000 Te
0.500 0.500 0.500 Rb
```

***

(3)
VASP calculation (PBE-GGA) on an optimized crystal structure of Dy4TmCo4.

Properties
raw total energy: -5.774 eV per atom
magnetic moment: 0.00 μB per formula unit
formation enthalpy at 0 K: -64 kJ/mol of formula units

```
Dy4TmCo4
1.0
5.573 0.000 0.000
0.000 8.353 0.000
0.000 0.000 8.353
Dy Tm Co
8 2 8
Direct
0.380 0.309 0.925 Dy
0.880 0.575 0.809 Dy
0.380 0.691 0.075 Dy
0.120 0.191 0.575 Dy
0.620 0.925 0.691 Dy
0.120 0.809 0.425 Dy
0.880 0.425 0.191 Dy
0.620 0.075 0.309 Dy
0.000 0.000 0.000 Tm
0.500 0.500 0.500 Tm
0.638 0.761 0.363 Co
0.638 0.239 0.637 Co
0.138 0.863 0.739 Co
0.862 0.261 0.863 Co
0.862 0.739 0.137 Co
0.362 0.363 0.239 Co
0.362 0.637 0.761 Co
0.138 0.137 0.261 Co
```

***

(4)
VASP calculation (PBE-GGA) on an optimized crystal structure of Y2ZrZnC.

Properties
raw total energy: -6.667 eV per atom
magnetic moment: 0.00 μB per formula unit
formation enthalpy at 0 K: -131 kJ/mol of formula units

```
Y2ZrZnC
1.0
4.882 0.000 0.000
0.000 4.882 0.000
0.000 0.000 4.550
Y Zn C Zr
2 1 1 1
Direct
0.000 0.500 0.000 Y
0.500 0.000 0.000 Y
0.500 0.500 0.500 Zn
0.000 0.000 0.000 C
0.000 0.000 0.500 Zr
```